--- P ---
## NaIn2HgCl (GGA-PBE)

Data for crystalline NaIn2HgCl at its relaxed geometry.

Lattice parameters (Å, degrees): 5.6788 6.3144 5.6788 90.00 90.00 90.00
Positions (direct):
Na 0.5000 0.5000 0.5000
Cl 0.0000 0.0000 0.0000
Hg 0.0000 0.5000 0.0000
In 0.0000 0.0000 0.5000
In 0.5000 0.0000 0.0000

=====

--- Q ---
## NaIn2HgCl (GGA-PBE)

Data for crystalline NaIn2HgCl at its relaxed geometry.

Lattice parameters (Å, degrees): 5.9616 5.1217 5.9616 90.00 90.00 90.00
Positions (direct):
Na 0.0000 0.5000 0.0000
Cl 0.0000 0.0000 0.0000
Hg 0.5000 0.5000 0.5000
In 0.0000 0.0000 0.5000
In 0.5000 0.0000 0.0000

=====

Result of the stability comparison: Q is the most stable of them.

=====

--- P ---
## InHgP2Cl (GGA-PBE)

Data for crystalline InHgP2Cl at its relaxed geometry.

Lattice parameters (Å, degrees): 5.0468 5.0468 6.0294 90.00 90.00 90.00
Positions (direct):
P 0.0000 0.5000 0.0000
P 0.5000 0.0000 0.0000
Cl 0.0000 0.0000 0.5000
Hg 0.0000 0.0000 0.0000
In 0.5000 0.5000 0.5000

=====

--- Q ---
## InHgP2Cl (GGA-PBE)

Data for crystalline InHgP2Cl at its relaxed geometry.

Lattice parameters (Å, degrees): 5.2095 5.2095 5.2369 90.00 90.00 90.00
Positions (direct):
P 0.0000 0.5000 0.0000
P 0.5000 0.0000 0.0000
Cl 0.0000 0.0000 0.5000
Hg 0.5000 0.5000 0.5000
In 0.0000 0.0000 0.0000

=====

Result of the stability comparison: Q is the most stable of them.

=====

--- P ---
## InHgPCl2 (GGA-PBE)

Data for crystalline InHgPCl2 at its relaxed geometry.

Lattice parameters (Å, degrees): 5.5481 5.5481 5.0025 90.00 90.00 90.00
Positions (direct):
P 0.0000 0.0000 0.5000
Cl 0.0000 0.5000 0.0000
Cl 0.5000 0.0000 0.0000
Hg 0.0000 0.0000 0.0000
In 0.5000 0.5000 0.5000

=====

--- Q ---
## InHgPCl2 (GGA-PBE)

Data for crystalline InHgPCl2 at its relaxed geometry.

Lattice parameters (Å, degrees): 5.2256 5.2256 5.3699 90.00 90.00 90.00
Positions (direct):
P 0.0000 0.0000 0.5000
Cl 0.0000 0.5000 0.0000
Cl 0.5000 0.0000 0.0000
Hg 0.5000 0.5000 0.5000
In 0.0000 0.0000 0.0000

=====

Result of the stability comparison: Q is the most stable of them.

=====

--- P ---
## InHgS2Cl (GGA-PBE)

Data for crystalline InHgS2Cl at its relaxed geometry.

Lattice parameters (Å, degrees): 5.7302 8.0664 8.4247 59.78 90.00 90.00
Positions (direct):
In 0.2500 0.3550 0.1815
In 0.7500 0.6450 0.8185
Hg 0.2500 0.4731 0.6423
Hg 0.7500 0.5269 0.3577
S 0.7500 0.4266 0.6880
S 0.2500 0.5734 0.3120
S 0.7500 0.3890 0.1526
S 0.2500 0.6110 0.8474
Cl 0.2500 0.0205 0.3005
Cl 0.7500 0.9795 0.6995

=====

--- Q ---
## InHgS2Cl (GGA-PBE)

Data for crystalline InHgS2Cl at its relaxed geometry.

Lattice parameters (Å, degrees): 5.0177 5.0177 5.5623 90.00 90.00 90.00
Positions (direct):
S 0.0000 0.5000 0.0000
S 0.5000 0.0000 0.0000
Cl 0.0000 0.0000 0.5000
Hg 0.0000 0.0000 0.0000
In 0.5000 0.5000 0.5000

=====

--- R ---
## InHgS2Cl (GGA-PBE)

Data for crystalline InHgS2Cl at its relaxed geometry.

Lattice parameters (Å, degrees): 5.1228 5.1228 5.0379 90.00 90.00 90.00
Positions (direct):
S 0.0000 0.5000 0.0000
S 0.5000 0.0000 0.0000
Cl 0.0000 0.0000 0.5000
Hg 0.5000 0.5000 0.5000
In 0.0000 0.0000 0.0000

=====

Result of the stability comparison: P is the most stable of them.

=====

--- P ---
## HgIrCl (GGA-PBE)

Data for crystalline HgIrCl at its relaxed geometry.

Lattice parameters (Å, degrees): 6.5060 6.5060 6.5060 152.34 152.34 39.52
Positions (direct):
Ir 0.6650 0.6650 0.0000
Hg 0.3096 0.3096 0.0000
Cl 0.0254 0.0254 0.0000

=====

--- Q ---
## HgIrCl (GGA-PBE)

Data for crystalline HgIrCl at its relaxed geometry.

Lattice parameters (Å, degrees): 7.6385 7.2772 3.1208 84.49 71.49 23.99
Positions (direct):
Ir 0.3443 0.3443 0.6557
Hg 0.6765 0.6767 0.3236
Cl 0.9792 0.9791 0.0207

=====

--- R ---
## HgIrCl (GGA-PBE)

Data for crystalline HgIrCl at its relaxed geometry.

Lattice parameters (Å, degrees): 4.4367 4.4367 3.2587 90.00 90.00 120.00
Positions (direct):
Ir 0.3333 0.6667 0.8333
Hg 0.6667 0.3333 0.3333
Cl 0.0000 0.0000 0.8334

=====

--- S ---
## HgIrCl (GGA-PBE)

Data for crystalline HgIrCl at its relaxed geometry.

Lattice parameters (Å, degrees): 4.5319 4.5319 4.5319 60.00 60.00 60.00
Positions (direct):
Ir 0.7500 0.7500 0.7500
Hg 0.5000 0.5000 0.5000
Cl 0.0000 0.0000 0.0000

=====

Result of the stability comparison: Q is the most stable of them.

=====

--- P ---
## HgIrCl2 (GGA-PBE)

Data for crystalline HgIrCl2 at its relaxed geometry.

Lattice parameters (Å, degrees): 5.0082 5.0082 3.2415 90.00 90.00 107.26
Positions (direct):
Ir 0.0000 0.5000 0.5000
Hg 0.5000 0.0000 0.5000
Cl 0.0000 0.0000 0.0000
Cl 0.5000 0.5000 0.0000

=====

--- Q ---
## HgIrCl2 (GGA-PBE)

Data for crystalline HgIrCl2 at its relaxed geometry.

Lattice parameters (Å, degrees): 6.1877 6.1877 6.1877 144.41 144.41 51.21
Positions (direct):
Ir 0.7500 0.2500 0.5000
Hg 0.5000 0.5000 0.0000
Cl 0.0000 0.0000 0.0000
Cl 0.2500 0.7500 0.5000

=====

Result of the stability comparison: Q is the most stable of them.